PBE NaNbTc, optimized geometry; electronic total energy = -18.15 eV per cell; calculated density = 5.86 g/cm³; space group = F-43m (216)
1.0
0.000 3.118 3.118
3.118 0.000 3.118
3.118 3.118 0.000
Na Nb Tc
1 1 1
direct
0.000 0.000 0.000 Na
0.500 0.500 0.500 Nb
0.250 0.250 0.250 Tc